[1]
Density functional theory data (PBE) for LiNd2Zn3Cu12 after structural relaxation. Values from VASP.

Geometry as Quantum ESPRESSO input:
```
&SYSTEM
  ibrav = 0, nat = 18, ntyp = 4
/
ATOMIC_SPECIES
Li 6.94 Li.upf
Nd 144.24 Nd.upf
Zn 65.41 Zn.upf
Cu 63.55 Cu.upf
ATOMIC_POSITIONS crystal
Li 0.000 0.000 0.000
Nd 0.347 0.347 0.347
Nd 0.653 0.653 0.653
Zn 0.000 0.000 0.500
Zn 0.000 0.500 0.000
Zn 0.500 0.000 0.000
Cu 0.068 0.068 0.651
Cu 0.068 0.651 0.068
Cu 0.192 0.579 0.579
Cu 0.349 0.932 0.932
Cu 0.421 0.421 0.808
Cu 0.421 0.808 0.421
Cu 0.579 0.192 0.579
Cu 0.579 0.579 0.192
Cu 0.651 0.068 0.068
Cu 0.808 0.421 0.421
Cu 0.932 0.349 0.932
Cu 0.932 0.932 0.349
CELL_PARAMETERS angstrom
3.137 1.811 8.751
-3.137 1.811 8.751
0.000 -3.622 8.751
```

---

[2]
! BaTiPbO4 (PBE, relaxed); values from VASP
! E_form (uncorrected)   -239 kJ per mole of atoms
&SYSTEM
  ibrav = 0, nat = 14, ntyp = 4
/
ATOMIC_SPECIES
Ba 137.33 Ba.upf
Ti 47.87 Ti.upf
Pb 207.20 Pb.upf
O 16.00 O.upf
ATOMIC_POSITIONS crystal
Ba 0.221 0.250 0.467
Ba 0.779 0.750 0.533
Ti 0.212 0.750 0.199
Ti 0.788 0.250 0.801
Pb 0.326 0.250 0.036
Pb 0.674 0.750 0.964
O 0.019 0.750 0.943
O 0.047 0.750 0.343
O 0.409 0.514 0.269
O 0.409 0.986 0.269
O 0.591 0.014 0.731
O 0.591 0.486 0.731
O 0.953 0.250 0.657
O 0.981 0.250 0.057
CELL_PARAMETERS angstrom
6.478 0.000 0.000
0.000 6.128 0.000
-3.101 0.000 6.953

---

[3]
! PuBi3Br2O6 (PBE, relaxed); values from VASP
! E_form (uncorrected)   -128 kJ per mole of atoms
&SYSTEM
  ibrav = 0, nat = 12, ntyp = 4
/
ATOMIC_SPECIES
Pu 244.00 Pu.upf
Bi 208.98 Bi.upf
Br 79.90 Br.upf
O 16.00 O.upf
ATOMIC_POSITIONS crystal
Pu 0.000 0.000 0.000
Bi 0.000 0.500 0.000
Bi 0.500 0.000 0.000
Bi 0.500 0.500 0.500
Br 0.289 0.289 0.631
Br 0.711 0.711 0.369
O 0.167 0.167 0.169
O 0.182 0.697 0.202
O 0.303 0.818 0.798
O 0.697 0.182 0.202
O 0.818 0.303 0.798
O 0.833 0.833 0.831
CELL_PARAMETERS angstrom
6.196 -3.401 0.000
6.196 3.401 0.000
-1.336 0.000 5.777

---

[4]
Density functional theory data (PBE) for HfGaBi after structural relaxation. Values from VASP.

Geometry as Quantum ESPRESSO input:
```
&SYSTEM
  ibrav = 0, nat = 12, ntyp = 3
/
ATOMIC_SPECIES
Hf 178.49 Hf.upf
Ga 69.72 Ga.upf
Bi 208.98 Bi.upf
ATOMIC_POSITIONS crystal
Hf 0.105 0.895 0.918
Hf 0.395 0.605 0.418
Hf 0.605 0.395 0.582
Hf 0.895 0.105 0.082
Ga 0.210 0.290 0.750
Ga 0.290 0.210 0.250
Ga 0.710 0.790 0.750
Ga 0.790 0.710 0.250
Bi 0.180 0.820 0.492
Bi 0.320 0.680 0.992
Bi 0.680 0.320 0.008
Bi 0.820 0.180 0.508
CELL_PARAMETERS angstrom
2.913 -7.252 0.000
2.913 7.252 0.000
0.000 0.000 6.763
```

---

no.,total energy (hartree per atom)
1,-0.126
2,-0.266
3,-0.230
4,-0.214